Material: MnOsSe
Method: DFT, GGA-PBE
State: relaxed

The structure in CIF format:
```
data_MnOsSe
_chemical_formula_sum 'Mn4 Os4 Se4'
_symmetry_space_group_name_H-M 'F -4 3 m'
_symmetry_Int_Tables_number 216
_symmetry_space_group_name_Hall 'F -4 2 3'
_cell_length_a 5.880
_cell_length_b 5.880
_cell_length_c 5.880
_cell_angle_alpha 90.00
_cell_angle_beta 90.00
_cell_angle_gamma 90.00
loop_
_atom_site_label
_atom_site_type_symbol
_atom_site_fract_x
_atom_site_fract_y
_atom_site_fract_z
Mn1 Mn 0.000 0.000 0.000
Os1 Os 0.250 0.250 0.250
Se1 Se 0.000 0.000 0.500
```

Calculated values
energy above the lowest structure with this stoichiometry	0.095	eV/f.u.
D(E_F)	3.37	states/eV/cell
energy relative to the elements, uncorrected	0.86	eV per formula unit
M_tot	0.972	μB per atom
E	-92.10	eV for the cell shown

Material: BeP3
Method: DFT, GGA-PBE
State: relaxed

The structure in CIF format:
```
data_BeP3
_chemical_formula_sum 'Be1 P3'
_symmetry_space_group_name_H-M 'P m m m'
_symmetry_Int_Tables_number 47
_cell_length_a 2.337
_cell_length_b 3.220
_cell_length_c 7.242
_cell_angle_alpha 90.00
_cell_angle_beta 90.00
_cell_angle_gamma 90.00
loop_
_symmetry_equiv_pos_as_xyz
'x,y,z'
'-x,-y,-z'
'-x,-y,z'
'x,y,-z'
'x,-y,-z'
'-x,y,z'
'-x,y,-z'
'x,-y,z'
loop_
_atom_site_label
_atom_site_type_symbol
_atom_site_fract_x
_atom_site_fract_y
_atom_site_fract_z
Be1 Be 0.000 0.000 0.000
P1 P 0.000 0.000 0.500
P2 P 0.500 0.500 0.192
```

Calculated values
energy above the lowest structure with this stoichiometry	2.852	eV/f.u.
D(E_F)	1.90	states/eV/cell
ΔE_f	0.56	eV/atom
M_tot	0.000	μB per atom
E	-17.71	eV for the cell shown

Material: La5Sb4N
Method: DFT, GGA-PBE
State: relaxed

The structure in CIF format:
```
data_La5Sb4N
_chemical_formula_sum 'La10 Sb8 N2'
_symmetry_space_group_name_H-M 'I 4'
_symmetry_Int_Tables_number 79
_cell_length_a 9.930
_cell_length_b 9.930
_cell_length_c 6.511
_cell_angle_alpha 90.00
_cell_angle_beta 90.00
_cell_angle_gamma 90.00
loop_
_symmetry_equiv_pos_as_xyz
'x,y,z'
'-y,x,z'
'-x,-y,z'
'y,-x,z'
'x+1/2,y+1/2,z+1/2'
'-y+1/2,x+1/2,z+1/2'
'-x+1/2,-y+1/2,z+1/2'
'y+1/2,-x+1/2,z+1/2'
loop_
_atom_site_label
_atom_site_type_symbol
_atom_site_fract_x
_atom_site_fract_y
_atom_site_fract_z
La1 La 0.000 0.000 0.000
La2 La 0.093 0.268 0.423
Sb1 Sb 0.089 0.306 0.919
N1 N 0.000 0.000 0.350
```

Calculated values
D(E_F)	1.31	states/eV/cell
energy relative to the elements, uncorrected	-11.53	eV per formula unit
M_tot	0.000	μB per atom
E	-121.96	eV for the cell shown

Material: BaTcIr3
Method: DFT, GGA-PBE
State: relaxed

The structure in CIF format:
```
data_BaTcIr3
_chemical_formula_sum 'Ba1 Tc1 Ir3'
_symmetry_space_group_name_H-M 'P m -3 m'
_symmetry_Int_Tables_number 221
_symmetry_space_group_name_Hall '-P 4 2 3'
_cell_length_a 4.846
_cell_length_b 4.846
_cell_length_c 4.846
_cell_angle_alpha 90.00
_cell_angle_beta 90.00
_cell_angle_gamma 90.00
loop_
_atom_site_label
_atom_site_type_symbol
_atom_site_fract_x
_atom_site_fract_y
_atom_site_fract_z
Ba1 Ba 0.000 0.000 0.000
Tc1 Tc 0.500 0.500 0.500
Ir1 Ir 0.000 0.500 0.500
```

Calculated values
energy above the lowest structure with this stoichiometry	0.000	eV/f.u.
D(E_F)	4.76	states/eV/cell
ΔE_f	0.79	eV/atom
M_tot	0.000	μB per atom
E	-34.93	eV for the cell shown

Material: Sr2CoSe
Method: DFT, GGA-PBE
State: relaxed

The structure in CIF format:
```
data_Sr2CoSe
_chemical_formula_sum 'Sr4 Co2 Se2'
_symmetry_space_group_name_H-M 'A m m 2'
_symmetry_Int_Tables_number 38
_cell_length_a 4.256
_cell_length_b 4.356
_cell_length_c 11.713
_cell_angle_alpha 90.00
_cell_angle_beta 90.00
_cell_angle_gamma 90.00
loop_
_symmetry_equiv_pos_as_xyz
'x,y,z'
'-x,-y,z'
'-x,y,z'
'x,-y,z'
'x,y+1/2,z+1/2'
'-x,-y+1/2,z+1/2'
'-x,y+1/2,z+1/2'
'x,-y+1/2,z+1/2'
loop_
_atom_site_label
_atom_site_type_symbol
_atom_site_fract_x
_atom_site_fract_y
_atom_site_fract_z
Sr1 Sr 0.000 0.000 0.000
Sr2 Sr 0.500 0.000 0.278
Co1 Co 0.500 0.000 0.572
Se1 Se 0.000 0.000 0.704
```

Calculated values
D(E_F)	7.23	states/eV/cell
energy relative to the elements, uncorrected	-2.21	eV per formula unit
M_tot	0.267	μB per atom
E	-32.33	eV for the cell shown

Material: LaBIrPt2
Method: DFT, GGA-PBE
State: relaxed

The structure in CIF format:
```
data_LaBIrPt2
_chemical_formula_sum 'La1 B1 Ir1 Pt2'
_symmetry_space_group_name_H-M 'P 4/m m m'
_symmetry_Int_Tables_number 123
_symmetry_space_group_name_Hall '-P 4 2'
_cell_length_a 4.450
_cell_length_b 4.450
_cell_length_c 4.266
_cell_angle_alpha 90.00
_cell_angle_beta 90.00
_cell_angle_gamma 90.00
loop_
_atom_site_label
_atom_site_type_symbol
_atom_site_fract_x
_atom_site_fract_y
_atom_site_fract_z
La1 La 0.000 0.000 0.000
B1 B 0.500 0.500 0.500
Ir1 Ir 0.500 0.500 0.000
Pt1 Pt 0.000 0.500 0.500
```

Calculated values
D(E_F)	2.89	states/eV/cell
ΔE_f	-0.63	eV/atom
M_tot	0.000	μB per atom
E	-35.72	eV for the cell shown

Material: KPm2TmSe4
Method: DFT, GGA-PBE
State: relaxed

The structure in CIF format:
```
data_KPm2TmSe4
_chemical_formula_sum 'K1 Pm2 Tm1 Se4'
_symmetry_space_group_name_H-M 'P 1 2/m 1'
_symmetry_Int_Tables_number 10
_cell_length_a 7.343
_cell_length_b 4.162
_cell_length_c 7.371
_cell_angle_alpha 90.00
_cell_angle_beta 108.48
_cell_angle_gamma 90.00
loop_
_symmetry_equiv_pos_as_xyz
'x,y,z'
'-x,-y,-z'
'-x,y,-z'
'x,-y,z'
loop_
_atom_site_label
_atom_site_type_symbol
_atom_site_fract_x
_atom_site_fract_y
_atom_site_fract_z
K1 K 0.000 0.000 0.000
Pm1 Pm 0.500 0.000 0.500
Pm2 Pm 0.500 0.500 0.000
Tm1 Tm 0.000 0.500 0.500
Se1 Se 0.242 0.000 0.735
Se2 Se 0.256 0.500 0.268
```

Calculated values
D(E_F)	2.79	states/eV/cell
energy relative to the elements, uncorrected	-13.60	eV per formula unit
M_tot	0.000	μB per atom
E	-42.61	eV for the cell shown

Material: Li4Cd3Hg3
Method: DFT, GGA-PBE
State: relaxed

The structure in CIF format:
```
data_Li4Cd3Hg3
_chemical_formula_sum 'Li16 Cd12 Hg12'
_symmetry_space_group_name_H-M 'I -4 3 d'
_symmetry_Int_Tables_number 220
_symmetry_space_group_name_Hall 'I -4bd 2c 3'
_cell_length_a 9.562
_cell_length_b 9.562
_cell_length_c 9.562
_cell_angle_alpha 90.00
_cell_angle_beta 90.00
_cell_angle_gamma 90.00
loop_
_atom_site_label
_atom_site_type_symbol
_atom_site_fract_x
_atom_site_fract_y
_atom_site_fract_z
Li1 Li 0.112 0.388 0.612
Cd1 Cd 0.000 0.250 0.875
Hg1 Hg 0.000 0.250 0.375
```

Calculated values
D(E_F)	18.08	states/eV/cell
ΔE_f	-0.19	eV/atom
M_tot	0.000	μB per atom
E	-52.86	eV for the cell shown